<A>
Hf2ZnIn2 | GGA-PBE | optimized geometry

```
10
Lattice="6.9611 0.0000 0.0000 0.0000 6.9611 0.0000 0.0000 0.0000 4.4059" Properties=species:S:1:pos:R:3 pbc="T T T"
Hf 1.1595 2.3211 0.0000
Hf 2.3211 5.8016 0.0000
Hf 4.6400 1.1595 0.0000
Hf 5.8016 4.6400 0.0000
Zn 0.0000 0.0000 2.2030
Zn 3.4806 3.4806 2.2030
In 0.9784 4.4590 2.2030
In 2.5021 0.9784 2.2030
In 4.4590 5.9827 2.2030
In 5.9827 2.5021 2.2030
```

Spin magnetization: 0.0000 μB per atom

=====

<B>
Hf2ZnIn2 | GGA-PBE | optimized geometry

```
10
Lattice="7.1230 0.0000 0.0000 0.0000 7.1230 0.0000 0.0000 0.0000 4.4686" Properties=species:S:1:pos:R:3 pbc="T T T"
Hf 1.0847 2.4768 0.0000
Hf 2.4768 6.0383 0.0000
Hf 4.6462 1.0847 0.0000
Hf 6.0383 4.6462 0.0000
Zn 0.0000 0.0000 0.0000
Zn 3.5615 3.5615 0.0000
In 1.0995 4.6610 2.2343
In 2.4620 1.0995 2.2343
In 4.6610 6.0235 2.2343
In 6.0235 2.4620 2.2343
```

Spin magnetization: 0.0000 μB per atom

=====

Short version: <B> is the least stable of them.

=====

<A>
Hf2Zn3In | GGA-PBE | optimized geometry

```
6
Lattice="-1.6286 2.1542 8.2697 1.6286 -2.1542 8.2697 1.6286 2.1542 -8.2697" Properties=species:S:1:pos:R:3 pbc="T T T"
Hf 0.0000 0.0000 0.0000
Hf 0.0000 2.1542 3.7470
Zn 1.6286 0.0000 2.4007
Zn 1.6286 0.0000 4.7876
Zn 0.0000 0.0000 9.5092
In 0.0000 0.0000 6.8226
```

Spin magnetization: 0.0000 μB per atom

=====

<B>
Hf2Zn3In | GGA-PBE | optimized geometry

```
12
Lattice="0.0000 4.4643 7.7261 3.1684 0.0000 7.7261 3.1684 4.4643 0.0000" Properties=species:S:1:pos:R:3 pbc="T T T"
Hf 4.7916 4.4643 7.7261
Hf 1.5842 2.2321 3.8630
Hf 4.7526 6.6964 11.5891
Hf 1.5453 4.4643 7.7261
Zn 3.1684 4.4643 2.5005
Zn 3.1684 2.1678 6.4825
Zn 3.1684 2.1678 8.9697
Zn 3.1684 6.7608 6.4825
Zn 3.1684 6.7608 8.9697
Zn 3.1684 4.4643 12.9517
In 3.1684 4.4643 5.1633
In 3.1684 4.4643 10.2889
```

Spin magnetization: 0.0000 μB per atom

=====

Short version: <A> is the least stable of them.